# 1
# Y2MnNi | the Alexandria database | PBE-GGA | relaxed
data_Y2MnNi
_cell_length_a 7.6371
_cell_length_b 7.6371
_cell_length_c 6.1931
_cell_angle_alpha 90.00
_cell_angle_beta 90.00
_cell_angle_gamma 90.00
_symmetry_space_group_name_H-M 'I -4 2 d'
_symmetry_Int_Tables_number 122
_symmetry_space_group_name_Hall 'I -4 2bw'
loop_
_atom_site_label
_atom_site_type_symbol
_atom_site_fract_x
_atom_site_fract_y
_atom_site_fract_z
Y1 Y 0.2107 0.2500 0.1250
Mn1 Mn 0.0000 0.0000 0.5000
Ni1 Ni 0.0000 0.0000 0.0000
# * spin magnetization: 2.87 μB/f.u.
# * crystal system: tetragonal

# 2
# TmGa2Tc4 | the Alexandria database | PBE-GGA | relaxed
data_TmGa2Tc4
_cell_length_a 4.1684
_cell_length_b 14.0842
_cell_length_c 4.1652
_cell_angle_alpha 90.00
_cell_angle_beta 90.00
_cell_angle_gamma 90.00
_symmetry_space_group_name_H-M 'C m m m'
_symmetry_Int_Tables_number 65
_symmetry_space_group_name_Hall '-C 2 2'
loop_
_atom_site_label
_atom_site_type_symbol
_atom_site_fract_x
_atom_site_fract_y
_atom_site_fract_z
Tm1 Tm 0.0000 0.0000 0.0000
Ga1 Ga 0.0000 0.4131 0.5000
Tc1 Tc 0.0000 0.1970 0.5000
Tc2 Tc 0.0000 0.3018 0.0000
# * spin magnetization: 0.00 μB/f.u.
# * crystal system: orthorhombic

no.,formation enthalpy at 0 K (eV/atom)
1,0.2998
2,-0.2437